A relaxed PmGa3Co2 crystal. Source: Alexandria, functional GGA-PBE.

POSCAR file:
```
PmGa3Co2
1.0
5.3137 0.0000 0.0000
0.0000 6.1421 -0.0234
0.0000 -1.2568 6.0122
Ga Pm Co
6 2 4
Direct
0.7500 0.4656 0.0958 Ga
0.2500 0.9591 0.9591 Ga
0.2500 0.5344 0.9042 Ga
0.7500 0.0958 0.4656 Ga
0.7500 0.0409 0.0409 Ga
0.2500 0.9042 0.5344 Ga
0.7500 0.6501 0.6501 Pm
0.2500 0.3499 0.3499 Pm
0.5000 0.2107 0.7893 Co
0.0000 0.2107 0.7893 Co
0.5000 0.7893 0.2107 Co
0.0000 0.7893 0.2107 Co
```

* calculated total energy: -5.13 eV/atom
* crystal system: orthorhombic
* energy relative to the elements: -0.46 eV per atom
* SG: Cmcm